Ac3IrC2N6, optimized geometry, DFT PBE; SG = No. 164; formation energy without anion corrections = -0.39 eV/atom
1.0
5.411 0.000 0.000
-2.706 4.686 0.000
0.000 0.000 7.021
Ac Ir C N
3 1 2 6
direct
0.000 0.000 0.000
0.333 0.667 0.666
0.667 0.333 0.334
0.000 0.000 0.500
0.333 0.667 0.276
0.667 0.333 0.724
0.185 0.369 0.272
0.185 0.815 0.272
0.369 0.185 0.728
0.631 0.815 0.272
0.815 0.185 0.728
0.815 0.631 0.728


Ac8Te3Ir3C, optimized geometry, DFT PBE; SG = No. 12; formation energy without anion corrections = -0.85 eV/atom
1.0
7.574 -4.368 0.000
7.574 4.368 0.000
-5.061 0.000 7.995
Ac Te Ir C
8 3 3 1
direct
0.223 0.223 0.692
0.223 0.747 0.692
0.253 0.777 0.308
0.263 0.263 0.289
0.737 0.737 0.711
0.747 0.223 0.692
0.777 0.253 0.308
0.777 0.777 0.308
0.000 0.000 0.000
0.000 0.500 0.000
0.500 0.000 0.000
0.000 0.500 0.500
0.500 0.000 0.500
0.500 0.500 0.500
0.000 0.000 0.500


KAc2C, optimized geometry, DFT PBE; SG = No. 166; energy of formation = 133 meV per atom
1.0
1.974 1.139 11.532
-1.974 1.139 11.532
0.000 -2.279 11.532
K Ac C
1 2 1
direct
0.000 0.000 0.000
0.123 0.123 0.123
0.877 0.877 0.877
0.500 0.500 0.500


| no. | E_tot (eV for the cell shown) |
| --- | --- |
| 1 | -94.3 |
| 2 | -90.8 |
| 3 | -18.0 |